[1]
Compound: HfMgBe
Source: OQMD
Functional: PBE-GGA
Structure: relaxed

Cell: 4.483 4.483 4.483 Å, 60.00 60.00 60.00°
Fractional positions:
Be: 0.250 0.250 0.250
Mg: 0.750 0.750 0.750
Hf: 0.000 0.000 0.000

relative energy among the computed polymorphs = 8.5 kJ per mole of atoms

---

[2]
Compound: HfMgBe
Source: OQMD
Functional: PBE-GGA
Structure: relaxed

Cell: 4.362 4.362 4.362 Å, 60.00 60.00 60.00°
Fractional positions:
Be: 0.250 0.250 0.250
Mg: 0.000 0.000 0.000
Hf: 0.750 0.750 0.750

relative energy among the computed polymorphs = 0.0 kJ per mole of atoms

---

[3]
Compound: HfMg2Be
Source: OQMD
Functional: PBE-GGA
Structure: relaxed

Cell: 4.659 4.659 4.659 Å, 60.00 60.00 60.00°
Fractional positions:
Be: 0.500 0.500 0.500
Mg: 0.000 0.000 0.000
Mg: 0.750 0.750 0.750
Hf: 0.250 0.250 0.250

electronic total energy = -3.920 eV per atom